Record 1
ReTc2Os: relaxed, PBE. Values from VASP.

Values from the calculation:
The calculation puts the total energy at -44.127 eV per formula unit. The value obtained for the energy above the lowest structure with this stoichiometry is 123 meV per atom. The volume is 58.6 Å³ per cell. As for the space group: Pmmm, No. 47. The formation energy comes out at 70.8 meV per atom.

Quantum ESPRESSO input file:
```
&SYSTEM
  ibrav = 0, nat = 4, ntyp = 3
/
ATOMIC_SPECIES
Os 190.23 Os.upf
Tc 98.00 Tc.upf
Re 186.21 Re.upf
CELL_PARAMETERS angstrom
2.742 0.000 0.000
0.000 3.883 0.000
0.000 0.000 5.504
ATOMIC_POSITIONS crystal
Os 0.500 0.500 0.250
Tc 0.000 0.000 0.497
Tc 0.000 0.000 0.003
Re 0.500 0.500 0.750
```

***

Record 2
Re2Tc4Os3: relaxed, PBE. Values from VASP.

Values from the calculation:
The calculation puts the total energy at -98.451 eV per formula unit. The volume is 269.9 Å³ per cell. As for the space group: C2/c, No. 15. The formation energy comes out at 177.6 meV per atom.

Quantum ESPRESSO input file:
```
&SYSTEM
  ibrav = 0, nat = 18, ntyp = 3
/
ATOMIC_SPECIES
Re 186.21 Re.upf
Os 190.23 Os.upf
Tc 98.00 Tc.upf
CELL_PARAMETERS angstrom
-0.398 2.532 3.970
-0.393 -6.987 3.330
7.332 -2.266 1.090
ATOMIC_POSITIONS crystal
Re 0.841 0.569 0.862
Os 0.092 0.083 0.257
Tc 0.817 0.766 0.462
Tc 0.494 0.094 0.811
Tc 0.506 0.906 0.189
Tc 0.994 0.811 0.094
Re 0.659 0.138 0.431
Os 0.908 0.917 0.743
Os 0.592 0.257 0.083
Os 0.750 0.414 0.586
Tc 0.006 0.189 0.906
Os 0.250 0.586 0.414
Os 0.408 0.743 0.917
Re 0.159 0.431 0.138
Tc 0.683 0.538 0.234
Tc 0.183 0.234 0.538
Re 0.341 0.862 0.569
Tc 0.317 0.462 0.766
```